# 1
AcLa4Y3Se8: optimized geometry, PBE-GGA.

Cell: 8.4951 8.4951 20.8971 Å, 90.00 90.00 120.00°
Space group R-3m (No. 166, hexagonal axes)
Asymmetric unit:
Ac1 0.0000 0.0000 0.0000 [3 per cell]
La1 0.0000 0.0000 0.5000 [3 per cell]
La2 0.0000 0.5000 0.5000 [9 per cell]
Y1 0.0000 0.5000 0.0000 [9 per cell]
Se1 0.0000 0.0000 0.2559 [6 per cell]
Se2 0.0132 0.5066 0.2532 [18 per cell]

Output
Density of states at the Fermi level = 31.05 states/eV per cell
E_tot = -6.323 eV/atom
Calculated density = 6.4 g cm⁻³
Formation energy from raw total energies = -1.881 eV per atom


# 2
AcLaYSe3: optimized geometry, PBE-GGA.

Cell: 7.4134 4.2293 11.0912 Å, 90.00 102.77 90.00°
Space group P2_1/m (No. 11)
Asymmetric unit:
Ac1 0.1581 0.2500 0.1924 [2 per cell]
La1 0.2648 0.7500 0.5567 [2 per cell]
Y1 0.3784 0.2500 0.8713 [2 per cell]
Se1 0.0525 0.2500 0.6717 [2 per cell]
Se2 0.2334 0.7500 0.9964 [2 per cell]
Se3 0.4480 0.7500 0.3378 [2 per cell]

Output
Density of states at the Fermi level = 7.72 states/eV per cell
E_tot = -6.172 eV/atom
Calculated density = 6.8 g cm⁻³
Formation energy from raw total energies = -1.846 eV per atom


# 3
Ac3LaY3Se8: optimized geometry, PBE-GGA.

Cell: 8.4368 8.4368 21.3785 Å, 90.00 90.00 120.00°
Space group R-3m (No. 166, hexagonal axes)
Asymmetric unit:
Ac1 0.0000 0.5000 0.0000 [9 per cell]
La1 0.0000 0.0000 0.5000 [3 per cell]
Y1 0.0000 0.5000 0.5000 [9 per cell]
Se1 0.0000 0.0000 0.2411 [6 per cell]
Se2 0.0169 0.5084 0.7550 [18 per cell]

Output
Density of states at the Fermi level = 23.50 states/eV per cell
E_tot = -6.177 eV/atom
Calculated density = 6.5 g cm⁻³
Formation energy from raw total energies = -1.875 eV per atom


# 4
AcLaY2Se6: optimized geometry, PBE-GGA.

Cell: 7.5102 7.5102 19.5074 Å, 90.00 90.00 120.00°
Space group R3 (No. 146, hexagonal axes)
Asymmetric unit:
Ac1 0.0000 0.0000 0.0000 [3 per cell]
La1 0.0000 0.0000 0.4946 [3 per cell]
Y1 0.0000 0.0000 0.2889 [3 per cell]
Y2 0.0000 0.0000 0.7916 [3 per cell]
Se1 0.0198 0.3817 0.5519 [9 per cell]
Se2 0.0206 0.6236 0.0523 [9 per cell]

Output
Density of states at the Fermi level = 0.00 states/eV per cell
E_tot = -6.213 eV/atom
Calculated density = 5.3 g cm⁻³
Formation energy from raw total energies = -1.926 eV per atom


# 5
Ac4LaY3Se8: optimized geometry, PBE-GGA.

Cell: 8.4829 8.4829 21.7425 Å, 90.00 90.00 120.00°
Space group R-3m (No. 166, hexagonal axes)
Asymmetric unit:
Ac1 0.0000 0.0000 0.0000 [3 per cell]
Ac2 0.0000 0.5000 0.0000 [9 per cell]
La1 0.0000 0.0000 0.5000 [3 per cell]
Y1 0.0000 0.5000 0.5000 [9 per cell]
Se1 0.0000 0.0000 0.2403 [6 per cell]
Se2 0.0088 0.5044 0.7580 [18 per cell]

Output
Density of states at the Fermi level = 26.61 states/eV per cell
E_tot = -6.121 eV/atom
Calculated density = 7.2 g cm⁻³
Formation energy from raw total energies = -1.831 eV per atom


# 6
AcLa3Y2Se6: optimized geometry, PBE-GGA.

Cell: 7.3772 12.8142 7.3980 Å, 90.00 109.62 90.00°
Space group C2/m (No. 12)
Asymmetric unit:
Ac1 0.0000 0.0000 0.0000 [2 per cell]
La1 0.0000 0.1599 0.5000 [4 per cell]
La2 0.0000 0.5000 0.5000 [2 per cell]
Y1 0.0000 0.3325 0.0000 [4 per cell]
Se1 0.2284 0.5000 0.2356 [4 per cell]
Se2 0.2441 0.3252 0.7568 [8 per cell]

Output
Density of states at the Fermi level = 12.80 states/eV per cell
E_tot = -6.284 eV/atom
Calculated density = 6.5 g cm⁻³
Formation energy from raw total energies = -1.890 eV per atom


# 7
AcLa2ZnSe5: optimized geometry, PBE-GGA.

Cell: 4.1579 18.3312 12.9519 Å, 90.00 90.00 90.00°
Space group Cmc2_1 (No. 36)
Asymmetric unit:
Ac1 0.0000 0.1816 0.0000 [4 per cell]
La1 0.0000 0.1150 0.6571 [4 per cell]
La2 0.0000 0.1197 0.3158 [4 per cell]
Zn1 0.0000 0.4566 0.3850 [4 per cell]
Se1 0.0000 0.0119 0.9801 [4 per cell]
Se2 0.0000 0.2970 0.6741 [4 per cell]
Se3 0.0000 0.3257 0.3211 [4 per cell]
Se4 0.0000 0.3483 0.9869 [4 per cell]
Se5 0.0000 0.4888 0.7146 [4 per cell]

Output
Density of states at the Fermi level = 6.76 states/eV per cell
E_tot = -5.308 eV/atom
Calculated density = 6.5 g cm⁻³
Formation energy from raw total energies = -1.680 eV per atom


# 8
Ac3La3Si4: optimized geometry, PBE-GGA.

Cell: 4.6144 11.4390 11.2812 Å, 90.00 90.00 90.00°
Space group Amm2 (No. 38)
Asymmetric unit:
Ac1 0.0000 0.0000 0.0000 [2 per cell]
Ac2 0.0000 0.1776 0.6758 [4 per cell]
La1 0.0000 0.0000 0.3541 [2 per cell]
La2 0.5000 0.2484 0.4262 [4 per cell]
Si1 0.5000 0.0000 0.5633 [2 per cell]
Si2 0.5000 0.0000 0.7828 [2 per cell]
Si3 0.5000 0.1072 0.1823 [4 per cell]

Output
Density of states at the Fermi level = 20.45 states/eV per cell
E_tot = -5.447 eV/atom
Calculated density = 6.7 g cm⁻³
Formation energy from raw total energies = -0.567 eV per atom


# 9
Ac2LaSi6: optimized geometry, PBE-GGA.

Cell: 7.2837 7.2837 4.4995 Å, 90.00 90.00 120.00°
Space group P6/mmm (No. 191)
Asymmetric unit:
Ac1 0.3333 0.6667 0.0000 [2 per cell]
La1 0.0000 0.0000 0.0000 [1 per cell]
Si1 0.0000 0.3305 0.5000 [6 per cell]

Output
Density of states at the Fermi level = 6.20 states/eV per cell
E_tot = -5.639 eV/atom
Calculated density = 6.1 g cm⁻³
Formation energy from raw total energies = -0.563 eV per atom


# 10
Ac3LaSi6: optimized geometry, PBE-GGA.

Cell: 12.3760 12.3760 11.7845 Å, 90.00 90.00 120.00°
Space group R-3c (No. 167, hexagonal axes)
Asymmetric unit:
Ac1 0.0000 0.4389 0.2500 [18 per cell]
La1 0.0000 0.0000 0.0000 [6 per cell]
Si1 0.0752 0.2280 0.3317 [36 per cell]

Output
Density of states at the Fermi level = 38.96 states/eV per cell
E_tot = -5.450 eV/atom
Calculated density = 6.3 g cm⁻³
Formation energy from raw total energies = -0.471 eV per atom


# 11
AcLaSi4: optimized geometry, PBE-GGA.

Cell: 7.9954 7.9954 7.9954 Å, 90.00 90.00 90.00°
Space group F-43m (No. 216)
Asymmetric unit:
Ac1 0.0000 0.0000 0.0000 [4 per cell]
La1 0.2500 0.2500 0.2500 [4 per cell]
Si1 0.1137 0.1137 0.6137 [16 per cell]

Output
Density of states at the Fermi level = 19.71 states/eV per cell
E_tot = -5.402 eV/atom
Calculated density = 6.2 g cm⁻³
Formation energy from raw total energies = -0.281 eV per atom


# 12
AcLaSi3: optimized geometry, PBE-GGA.

Cell: 4.6729 25.4448 4.0802 Å, 90.00 90.00 90.00°
Space group Cmcm (No. 63)
Asymmetric unit:
Ac1 0.0000 0.0695 0.2500 [4 per cell]
La1 0.0000 0.2013 0.7500 [4 per cell]
Si1 0.0000 0.3252 0.7500 [4 per cell]
Si2 0.0000 0.3801 0.2500 [4 per cell]
Si3 0.0000 0.4757 0.2500 [4 per cell]

Output
Density of states at the Fermi level = 11.53 states/eV per cell
E_tot = -5.704 eV/atom
Calculated density = 6.2 g cm⁻³
Formation energy from raw total energies = -0.643 eV per atom


# 13
AcLaSi4: optimized geometry, PBE-GGA.

Cell: 4.4667 4.4667 13.7759 Å, 90.00 90.00 90.00°
Space group I-4m2 (No. 119)
Asymmetric unit:
Ac1 0.0000 0.0000 0.0000 [2 per cell]
La1 0.0000 0.5000 0.2500 [2 per cell]
Si1 0.0000 0.0000 0.4130 [4 per cell]
Si2 0.0000 0.5000 0.6655 [4 per cell]

Output
Density of states at the Fermi level = 4.04 states/eV per cell
E_tot = -5.728 eV/atom
Calculated density = 5.8 g cm⁻³
Formation energy from raw total energies = -0.607 eV per atom


# 14
Ac3LaSi4: optimized geometry, PBE-GGA.

Cell: 4.4958 6.5970 16.9894 Å, 90.00 90.00 90.00°
Space group Immm (No. 71)
Asymmetric unit:
Ac1 0.0000 0.0000 0.0000 [2 per cell]
Ac2 0.0000 0.5000 0.1934 [4 per cell]
La1 0.0000 0.0000 0.5000 [2 per cell]
Si1 0.0000 0.3218 0.3716 [8 per cell]

Output
Density of states at the Fermi level = 16.67 states/eV per cell
E_tot = -5.332 eV/atom
Calculated density = 6.1 g cm⁻³
Formation energy from raw total energies = -0.464 eV per atom


# 15
Ac12LaSi7: optimized geometry, PBE-GGA.

Cell: 16.0495 16.0495 10.7447 Å, 90.00 90.00 120.00°
Space group R-3 (No. 148, hexagonal axes)
Asymmetric unit:
Ac1 0.0303 0.5918 0.1636 [18 per cell]
Ac2 0.0499 0.1763 0.8318 [18 per cell]
La1 0.0000 0.0000 0.5000 [3 per cell]
Si1 0.0000 0.0000 0.0000 [3 per cell]
Si2 0.0519 0.1807 0.3316 [18 per cell]

Output
Density of states at the Fermi level = 68.07 states/eV per cell
E_tot = -4.888 eV/atom
Calculated density = 6.4 g cm⁻³
Formation energy from raw total energies = -0.279 eV per atom


# 16
AcLa2Si2: optimized geometry, PBE-GGA.

Cell: 8.0667 8.0667 4.4344 Å, 90.00 90.00 90.00°
Space group P4/mbm (No. 127)
Asymmetric unit:
Ac1 0.0000 0.0000 0.0000 [2 per cell]
La1 0.1739 0.3261 0.5000 [4 per cell]
Si1 0.1071 0.6071 0.0000 [4 per cell]

Output
Density of states at the Fermi level = 9.95 states/eV per cell
E_tot = -5.545 eV/atom
Calculated density = 6.5 g cm⁻³
Formation energy from raw total energies = -0.584 eV per atom


# 17
Ac3La4Si4: optimized geometry, PBE-GGA.

Cell: 4.2010 8.9757 17.9509 Å, 90.00 90.00 90.00°
Space group Immm (No. 71)
Asymmetric unit:
Ac1 0.0000 0.0000 0.0000 [2 per cell]
Ac2 0.0000 0.5000 0.0964 [4 per cell]
La1 0.0000 0.3237 0.3282 [8 per cell]
Si1 0.0000 0.0000 0.2673 [4 per cell]
Si2 0.0000 0.2219 0.5000 [4 per cell]

Output
Density of states at the Fermi level = 22.95 states/eV per cell
E_tot = -5.362 eV/atom
Calculated density = 6.6 g cm⁻³
Formation energy from raw total energies = -0.478 eV per atom


# 18
Ac12LaSi6: optimized geometry, PBE-GGA.

Cell: 11.0574 11.0574 11.0574 Å, 90.00 90.00 90.00°
Space group Im-3 (No. 204)
Asymmetric unit:
Ac1 0.0000 0.2990 0.1922 [24 per cell]
La1 0.0000 0.0000 0.0000 [2 per cell]
Si1 0.0000 0.1081 0.5000 [12 per cell]

Output
Density of states at the Fermi level = 33.91 states/eV per cell
E_tot = -4.913 eV/atom
Calculated density = 7.4 g cm⁻³
Formation energy from raw total energies = -0.346 eV per atom


# 19
AcLaTlSi: optimized geometry, PBE-GGA.

Cell: 7.8412 7.8412 7.8412 Å, 90.00 90.00 90.00°
Space group F-43m (No. 216)
Asymmetric unit:
Ac1 0.0000 0.0000 0.0000 [4 per cell]
La1 0.0000 0.0000 0.5000 [4 per cell]
Tl1 0.2500 0.2500 0.2500 [4 per cell]
Si1 0.2500 0.2500 0.7500 [4 per cell]

Output
Density of states at the Fermi level = 10.19 states/eV per cell
E_tot = -4.535 eV/atom
Calculated density = 8.2 g cm⁻³
Formation energy from raw total energies = -0.328 eV per atom


# 20
AcLaZn2Si2: optimized geometry, PBE-GGA.

Cell: 4.2598 4.2598 8.9892 Å, 90.00 90.00 120.00°
Space group P-3m1 (No. 164)
Asymmetric unit:
Ac1 0.0000 0.0000 0.0000 [1 per cell]
La1 0.0000 0.0000 0.5000 [1 per cell]
Zn1 0.3333 0.6667 0.7418 [2 per cell]
Si1 0.3333 0.6667 0.2613 [2 per cell]

Output
Density of states at the Fermi level = 4.68 states/eV per cell
E_tot = -4.343 eV/atom
Calculated density = 6.5 g cm⁻³
Formation energy from raw total energies = -0.605 eV per atom